The following is a DFT calculation (PBE) of crystalline LaZr2Ru at its relaxed geometry.

Geometry as POSCAR:
```
LaZr2Ru
1.0
-1.8444 -5.6307 7.8103
0.9510 -7.1474 6.6422
1.2108 -4.4365 8.6579
La Ru Zr
1 1 2
Direct
0.2500 0.2500 0.2500 La
0.7500 0.7500 0.7500 Ru
0.0191 0.0191 0.0191 Zr
0.4809 0.4809 0.4809 Zr
```

Values from the calculation:
Magnetization = 0.00 μB/atom
Volume = 96 Å³/cell
Formation energy = 0.05 eV per atom
Energy above the most stable polymorph in this dataset = 235.0 meV per atom
Symmetry = R-3m (166)

The following is a DFT calculation (PBE) of crystalline La2ZrRu at its relaxed geometry.

Geometry as POSCAR:
```
La2ZrRu
1.0
6.1520 0.0108 0.0000
3.2425 5.2282 0.0000
-4.6973 -2.6195 2.9869
La Ru Zr
2 1 1
Direct
0.0000 0.0000 0.0000 La
0.5000 0.5000 0.0000 La
0.2500 0.7500 0.5000 Ru
0.7500 0.2500 0.5000 Zr
```

Values from the calculation:
Magnetization = 0.00 μB/atom
Volume = 96 Å³/cell
Formation energy = 0.22 eV per atom
Energy above the most stable polymorph in this dataset = 357.3 meV per atom
Symmetry = I4/mmm (139)

The following is a DFT calculation (PBE) of crystalline La2ZrRu at its relaxed geometry.

Geometry as POSCAR:
```
La2ZrRu
1.0
0.0000 3.6906 3.6906
3.6906 0.0000 3.6906
3.6906 3.6906 0.0000
Ru Zr La
1 1 2
Direct
0.5000 0.5000 0.5000 Ru
0.0000 0.0000 0.0000 Zr
0.2500 0.2500 0.2500 La
0.7500 0.7500 0.7500 La
```

Values from the calculation:
Magnetization = 0.39 μB/atom
Volume = 101 Å³/cell
Formation energy = 0.27 eV per atom
Energy above the most stable polymorph in this dataset = 406.8 meV per atom
Symmetry = Fm-3m (225)

The following is a DFT calculation (PBE) of crystalline LaZr2Ru at its relaxed geometry.

Geometry as POSCAR:
```
LaZr2Ru
1.0
-0.3930 -1.5473 -2.9214
2.7001 -1.8477 0.6154
-4.8412 -5.8294 3.7386
La Ru Zr
1 1 2
Direct
0.0000 0.0000 0.5464 La
0.5000 0.5000 0.7871 Ru
0.0000 0.0000 0.9611 Zr
0.5000 0.5000 0.2054 Zr
```

Values from the calculation:
Magnetization = 0.00 μB/atom
Volume = 94 Å³/cell
Formation energy = -0.12 eV per atom
Energy above the most stable polymorph in this dataset = 63.0 meV per atom
Symmetry = P4mm (99)

The following is a DFT calculation (PBE) of crystalline LaZr2Ru at its relaxed geometry.

Geometry as POSCAR:
```
LaZr2Ru
1.0
6.0363 0.0014 0.0000
3.2390 5.0937 0.0000
-4.6377 -2.5475 2.9050
La Ru Zr
1 1 2
Direct
0.2500 0.7500 0.5000 La
0.7500 0.2500 0.5000 Ru
0.0000 0.0000 0.0000 Zr
0.5000 0.5000 0.0000 Zr
```

Values from the calculation:
Magnetization = 0.00 μB/atom
Volume = 89 Å³/cell
Formation energy = 0.12 eV per atom
Energy above the most stable polymorph in this dataset = 303.7 meV per atom
Symmetry = I4/mmm (139)

The following is a DFT calculation (PBE) of crystalline La4ZrRu at its relaxed geometry.

Geometry as POSCAR:
```
La4ZrRu
1.0
5.4760 -2.9362 0.6952
3.9460 1.7714 4.5147
0.9560 -3.7026 4.9465
La Zr Ru
4 1 1
Direct
0.8710 0.3763 0.3763 La
0.3763 0.3763 0.8710 La
0.3763 0.8710 0.3763 La
0.3763 0.3763 0.3763 La
0.0000 0.0000 0.0000 Zr
0.7500 0.7500 0.7500 Ru
```

Values from the calculation:
Magnetization = 0.33 μB/atom
Volume = 173 Å³/cell
Formation energy = 0.83 eV per atom
Symmetry = F-43m (216)

The following is a DFT calculation (PBE) of crystalline La2ZrRu at its relaxed geometry.

Geometry as POSCAR:
```
La2ZrRu
1.0
-4.7970 7.7520 2.8016
-6.5082 5.1550 4.6928
-3.4225 6.6028 5.9702
La Ru Zr
2 1 1
Direct
0.9863 0.9863 0.9863 La
0.5137 0.5137 0.5137 La
0.2500 0.2500 0.2500 Ru
0.7500 0.7500 0.7500 Zr
```

Values from the calculation:
Magnetization = 0.00 μB/atom
Volume = 107 Å³/cell
Formation energy = 0.21 eV per atom
Energy above the most stable polymorph in this dataset = 339.7 meV per atom
Symmetry = R-3m (166)

The following is a DFT calculation (PBE) of crystalline La2Zr2Ru at its relaxed geometry.

Geometry as POSCAR:
```
La2Zr2Ru
1.0
-3.3198 -4.9422 3.4533
-1.7534 -2.9804 -5.9510
4.7085 -3.0610 0.1457
Ru Zr La
2 4 4
Direct
0.0000 0.0000 0.0000 Ru
0.5000 0.5000 0.0000 Ru
0.3429 0.8429 0.0000 Zr
0.8429 0.6571 0.0000 Zr
0.6571 0.1571 0.0000 Zr
0.1571 0.3429 0.0000 Zr
0.1696 0.6696 0.5000 La
0.6696 0.8304 0.5000 La
0.8304 0.3304 0.5000 La
0.3304 0.1696 0.5000 La
```

Values from the calculation:
Magnetization = 0.00 μB/atom
Volume = 266 Å³/cell
Formation energy = -0.04 eV per atom
Symmetry = P4/mbm (127)

The following is a DFT calculation (PBE) of crystalline LaZr2Ru at its relaxed geometry.

Geometry as POSCAR:
```
LaZr2Ru
1.0
-2.9200 1.6559 -0.5723
-2.5588 -3.6106 2.6085
0.6452 2.6007 4.2327
La Ru Zr
1 1 2
Direct
0.5000 0.0000 0.5000 La
0.0000 0.5000 0.5000 Ru
0.0000 0.0000 0.0000 Zr
0.5000 0.5000 0.0000 Zr
```

Values from the calculation:
Magnetization = 0.00 μB/atom
Volume = 88 Å³/cell
Formation energy = 0.08 eV per atom
Energy above the most stable polymorph in this dataset = 266.7 meV per atom
Symmetry = Pmmm (47)

The following is a DFT calculation (PBE) of crystalline La2ZrRu at its relaxed geometry.

Geometry as POSCAR:
```
La2ZrRu
1.0
3.4106 0.0000 0.0000
0.0000 4.5771 0.0000
0.0000 0.0000 6.3926
La Ru Zr
2 1 1
Direct
0.0000 0.0000 0.9566 La
0.5000 0.5000 0.2782 La
0.0000 0.0000 0.5595 Ru
0.5000 0.5000 0.7057 Zr
```

Values from the calculation:
Magnetization = 0.00 μB/atom
Volume = 100 Å³/cell
Formation energy = 0.07 eV per atom
Energy above the most stable polymorph in this dataset = 200.8 meV per atom
Symmetry = Pmm2 (25)

The following is a DFT calculation (PBE) of crystalline La2ZrRu at its relaxed geometry.

Geometry as POSCAR:
```
La2ZrRu
1.0
-0.5846 2.2397 2.5199
1.6495 -2.0460 2.2012
9.4221 2.1504 0.2747
La Ru Zr
2 1 1
Direct
0.0000 0.0364 0.9642 La
0.5000 0.1841 0.3158 La
0.0000 0.4663 0.5332 Ru
0.5000 0.8132 0.6867 Zr
```

Values from the calculation:
Magnetization = 0.00 μB/atom
Volume = 106 Å³/cell
Formation energy = -0.13 eV per atom
Energy above the most stable polymorph in this dataset = 0.0 meV per atom
Symmetry = P4mm (99)

The following is a DFT calculation (PBE) of crystalline LaZr2Ru at its relaxed geometry.

Geometry as POSCAR:
```
LaZr2Ru
1.0
-1.5815 -4.1989 0.8736
2.8370 -1.3031 -1.1273
3.6307 -0.3533 4.8750
La Ru Zr
1 1 2
Direct
0.5000 0.2500 0.2500 La
0.5000 0.7500 0.7500 Ru
0.0000 0.9504 0.9642 Zr
0.0000 0.5496 0.5358 Zr
```

Values from the calculation:
Magnetization = 0.00 μB/atom
Volume = 89 Å³/cell
Formation energy = 0.00 eV per atom
Energy above the most stable polymorph in this dataset = 183.1 meV per atom
Symmetry = P2/m (10)